# DyPd3O4

A relaxed structure of DyPd3O4 (PBE-GGA, Alexandria via LeMat-Bulk).

Uncorrected formation energy (eV per atom): -1.295

Cell: 5.8749 5.8749 5.8749 Å, 90.00 90.00 90.00°
Last column: nearest neighbours and their distance in Å.
Space group Pm-3n (No. 223)
Unique sites:
Dy: 0.0000 0.0000 0.0000 (multiplicity 2)  8 O 2.54
Pd: 0.0000 0.2500 0.5000 (multiplicity 6)  4 O 2.08
O: 0.2500 0.2500 0.2500 (multiplicity 8)  3 Pd 2.08

=====

# Sm2NbGe3Pt4

A relaxed structure of Sm2NbGe3Pt4 (PBE-GGA, Alexandria via LeMat-Bulk).

Energy of formation from the pure elements (kcal/mol of atoms): -20.0

Cell: 4.2464 4.2464 10.7955 Å, 90.00 90.00 90.00°
Last column: nearest neighbours and their distance in Å.
Space group P-4m2 (No. 115)
Unique sites:
Sm: 0.0000 0.5000 0.2365 (multiplicity 2)  6 Ge 3.20-3.55, 8 Pt 3.29-3.32, 2 Nb 3.55
Nb: 0.0000 0.0000 0.5000 (multiplicity 1)  4 Pt 2.60
Ge: 0.0000 0.5000 0.8652 (multiplicity 2)  5 Pt 2.44-2.57
Ge: 0.5000 0.5000 0.5000 (multiplicity 1)  4 Pt 2.60
Pt: 0.0000 0.0000 0.0000 (multiplicity 1)  4 Ge 2.57
Pt: 0.0000 0.5000 0.6388 (multiplicity 2)  3 Ge 2.44-2.60, 2 Nb 2.60
Pt: 0.5000 0.5000 0.0000 (multiplicity 1)  4 Ge 2.57

=====

# Li2LaCuN

A relaxed structure of Li2LaCuN (PBE-GGA, Alexandria via LeMat-Bulk).

Uncorrected formation energy (eV per atom): 0.315
Excess energy over the best structure of this formula in the dataset (eV/atom): 0.637

Cell: 4.4797 4.4797 3.8914 Å, 90.00 90.00 90.00°
Last column: nearest neighbours and their distance in Å.
Space group P4/mmm (No. 123)
Unique sites:
Li: 0.0000 0.5000 0.0000 (multiplicity 2)  2 Cu 2.24
La: 0.0000 0.0000 0.5000 (multiplicity 1)  8 Li 2.97, 4 N 3.17
Cu: 0.5000 0.5000 0.0000 (multiplicity 1)  2 N 1.95
N: 0.5000 0.5000 0.5000 (multiplicity 1)  2 Cu 1.95

=====

# Pm2BN2

A relaxed structure of Pm2BN2 (PBE-GGA, Alexandria via LeMat-Bulk).

Uncorrected formation energy (eV per atom): -0.743

Cell: 3.0809 14.2402 6.3866 Å, 90.00 90.00 90.00°
Last column: nearest neighbours and their distance in Å.
Space group Cmc2_1 (No. 36)
Unique sites:
Pm: 0.0000 0.0396 0.0000 (multiplicity 4)  6 N 2.56-2.62, 2 B 2.73
Pm: 0.0000 0.2317 0.7052 (multiplicity 4)  5 N 2.63-2.70, 3 B 2.66-2.76
B: 0.0000 0.3820 0.9781 (multiplicity 4)  1 N 1.46
N: 0.0000 0.1285 0.3594 (multiplicity 4)  2 B 1.72
N: 0.0000 0.4182 0.1923 (multiplicity 4)  1 B 1.46

=====

# CaNd6Ho4

A relaxed structure of CaNd6Ho4 (PBE-GGA, Alexandria via LeMat-Bulk).

Energy of formation from the pure elements (kcal/mol of atoms): 7.6

Cell: 9.4243 9.4243 5.2855 Å, 90.00 90.00 120.00°
Last column: nearest neighbours and their distance in Å.
Space group P-6m2 (No. 187)
Unique sites:
Ca: 0.0000 0.0000 0.0000 (multiplicity 1)  6 Nd 4.23, 6 Ho 4.32
Nd: 0.2024 0.4047 0.5000 (multiplicity 3)  4 Ho 3.36-3.40, 2 Nd 3.70
Nd: 0.5326 0.0653 0.0000 (multiplicity 3)  5 Ho 3.25-3.38
Ho: 0.3333 0.6667 0.0000 (multiplicity 1)  9 Nd 3.25-3.40
Ho: 0.4183 0.2092 0.5000 (multiplicity 3)  6 Nd 3.36-3.38, 2 Ho 3.51

=====

# Y4Tm3Co2

A relaxed structure of Y4Tm3Co2 (PBE-GGA, Alexandria via LeMat-Bulk).

Energy of formation from the pure elements (kcal/mol of atoms): -2.7

Cell: 16.2889 3.5972 8.8880 Å, 90.00 113.33 90.00°
Last column: nearest neighbours and their distance in Å.
Space group C2/m (No. 12)
Unique sites:
Y: 0.1333 0.0000 0.3932 (multiplicity 4)  6 Tm 3.59-3.76, 7 Y 3.60-3.95, 2 Co 3.95-3.97
Y: 0.2285 0.5000 0.1480 (multiplicity 4)  3 Co 2.73-2.90
Tm: 0.0000 0.5000 0.0000 (multiplicity 2)  4 Co 2.83
Tm: 0.0716 0.5000 0.6941 (multiplicity 4)  2 Co 2.67
Co: 0.1161 0.0000 0.9349 (multiplicity 4)  4 Tm 2.67-2.83, 3 Y 2.73-2.90

=====

# PrSm3Er12

A relaxed structure of PrSm3Er12 (PBE-GGA, Alexandria via LeMat-Bulk).

Energy of formation from the pure elements (kcal/mol of atoms): 0.5

Cell: 5.0065 5.0065 20.0450 Å, 90.00 90.00 90.00°
Last column: nearest neighbours and their distance in Å.
Space group P4/mmm (No. 123)
Unique sites:
Pr: 0.0000 0.0000 0.0000 (multiplicity 1)  12 Er 3.54-3.56
Sm: 0.0000 0.0000 0.2506 (multiplicity 2)  12 Er 3.53-3.54
Sm: 0.0000 0.0000 0.5000 (multiplicity 1)  12 Er 3.54
Er: 0.0000 0.5000 0.1261 (multiplicity 4)  2 Sm 3.53, 8 Er 3.54-3.56, 2 Pr 3.56
Er: 0.0000 0.5000 0.3753 (multiplicity 4)  8 Er 3.53-3.54, 4 Sm 3.54
Er: 0.5000 0.5000 0.0000 (multiplicity 1)  4 Pr 3.54, 8 Er 3.56
Er: 0.5000 0.5000 0.2508 (multiplicity 2)  8 Er 3.53-3.54, 4 Sm 3.54
Er: 0.5000 0.5000 0.5000 (multiplicity 1)  8 Er 3.54, 4 Sm 3.54

=====

# Rb3Sc3MnSe8

A relaxed structure of Rb3Sc3MnSe8 (PBE-GGA, Alexandria via LeMat-Bulk).

Uncorrected formation energy (eV per atom): -1.339

Cell: 13.5727 7.8400 9.2905 Å, 90.00 119.11 90.00°
Last column: nearest neighbours and their distance in Å.
Space group C2/m (No. 12)
Unique sites:
Rb: 0.0000 0.0000 0.0000 (multiplicity 2)  6 Se 3.40-3.42
Rb: 0.2500 0.2500 0.0000 (multiplicity 4)  6 Se 3.40-3.43
Sc: 0.0000 0.5000 0.5000 (multiplicity 2)  6 Se 2.72-2.73
Sc: 0.2500 0.2500 0.5000 (multiplicity 4)  6 Se 2.72-2.74
Mn: 0.0000 0.0000 0.5000 (multiplicity 2)  6 Se 2.58
Se: 0.0198 0.2365 0.3228 (multiplicity 8)  1 Mn 2.58, 2 Sc 2.73
Se: 0.2165 0.0000 0.6771 (multiplicity 4)  1 Mn 2.58, 2 Sc 2.74
Se: 0.2289 0.5000 0.6868 (multiplicity 4)  3 Sc 2.72

=====

| no. | E (eV/atom) |
| --- | --- |
| 1 | -6.30 |
| 2 | -6.62 |
| 3 | -3.92 |
| 4 | -7.31 |
| 5 | -4.12 |
| 6 | -6.06 |
| 7 | -4.58 |
| 8 | -5.27 |